1.
Compound: MgCuSe2
Source: the Alexandria database
Functional: GGA-PBEsol
Structure: optimized geometry

Structure (CIF):
```
data_MgCuSe2
_chemical_formula_sum 'Mg1 Cu1 Se2'
_space_group_name_H-M_alt 'P 1'
_space_group_IT_number 1
_cell_length_a 6.566
_cell_length_b 6.566
_cell_length_c 3.666
_cell_angle_alpha 90.01
_cell_angle_beta 90.01
_cell_angle_gamma 28.79
loop_
_space_group_symop_operation_xyz
'x,y,z'
loop_
_atom_site_label
_atom_site_fract_x
_atom_site_fract_y
_atom_site_fract_z
Mg1 0.000 0.000 0.000
Cu1 0.223 0.223 0.503
Se1 0.413 0.413 0.500
Se2 0.677 0.677 0.002
```

Computed properties:
- Magnetization: 0.00 μB per atom
- Electronic total energy: -15.8 eV/f.u.
- SG: No. 8

---

2.
Compound: MgCu2Se
Source: the Alexandria database
Functional: GGA-PBEsol
Structure: optimized geometry

Structure (CIF):
```
data_MgCu2Se
_chemical_formula_sum 'Mg1 Cu2 Se1'
_space_group_name_H-M_alt 'P 1'
_space_group_IT_number 1
_cell_length_a 3.964
_cell_length_b 3.964
_cell_length_c 5.395
_cell_angle_alpha 109.78
_cell_angle_beta 109.78
_cell_angle_gamma 57.72
loop_
_space_group_symop_operation_xyz
'x,y,z'
loop_
_atom_site_label
_atom_site_fract_x
_atom_site_fract_y
_atom_site_fract_z
Mg1 0.000 0.000 0.000
Cu1 0.478 0.478 0.424
Cu2 0.761 0.761 0.287
Se1 0.224 0.224 0.649
```

Computed properties:
- Magnetization: 0.00 μB per atom
- Electronic total energy: -14.6 eV/f.u.
- Energy relative to the lowest polymorph listed for this composition: 0.054 eV/atom
- SG: No. 8

---

3.
Compound: Mg2CuSe4
Source: the Alexandria database
Functional: GGA-PBEsol
Structure: optimized geometry

Structure (CIF):
```
data_Mg2CuSe4
_chemical_formula_sum 'Mg2 Cu1 Se4'
_space_group_name_H-M_alt 'P 1'
_space_group_IT_number 1
_cell_length_a 5.905
_cell_length_b 5.905
_cell_length_c 5.905
_cell_angle_alpha 113.75
_cell_angle_beta 113.75
_cell_angle_gamma 101.22
loop_
_space_group_symop_operation_xyz
'x,y,z'
loop_
_atom_site_label
_atom_site_fract_x
_atom_site_fract_y
_atom_site_fract_z
Mg1 0.250 0.750 0.500
Mg2 0.750 0.250 0.500
Cu1 0.000 0.000 0.000
Se1 0.204 0.305 0.508
Se2 0.305 0.796 0.101
Se3 0.695 0.204 0.899
Se4 0.796 0.695 0.492
```

Computed properties:
- Magnetization: 0.00 μB per atom
- Electronic total energy: -27.0 eV/f.u.
- Energy relative to the lowest polymorph listed for this composition: 0.000 eV/atom
- SG: No. 87

---

4.
Compound: Mg3CuSe3
Source: the Alexandria database
Functional: GGA-PBEsol
Structure: optimized geometry

Structure (CIF):
```
data_Mg3CuSe3
_chemical_formula_sum 'Mg6 Cu2 Se6'
_space_group_name_H-M_alt 'P 1'
_space_group_IT_number 1
_cell_length_a 9.250
_cell_length_b 9.250
_cell_length_c 4.936
_cell_angle_alpha 90.00
_cell_angle_beta 90.00
_cell_angle_gamma 120.00
loop_
_space_group_symop_operation_xyz
'x,y,z'
loop_
_atom_site_label
_atom_site_fract_x
_atom_site_fract_y
_atom_site_fract_z
Mg1 0.119 0.260 0.250
Mg2 0.141 0.881 0.250
Mg3 0.260 0.141 0.750
Mg4 0.740 0.859 0.250
Mg5 0.859 0.119 0.750
Mg6 0.881 0.740 0.750
Cu1 0.333 0.667 0.750
Cu2 0.667 0.333 0.250
Se1 0.174 0.376 0.750
Se2 0.202 0.826 0.750
Se3 0.376 0.202 0.250
Se4 0.624 0.798 0.750
Se5 0.798 0.174 0.250
Se6 0.826 0.624 0.250
```

Computed properties:
- Magnetization: 0.00 μB per atom
- Electronic total energy: -25.5 eV/f.u.
- SG: No. 176

---

5.
Compound: Mg3Cu3Se
Source: the Alexandria database
Functional: GGA-PBEsol
Structure: optimized geometry

Structure (CIF):
```
data_Mg3Cu3Se
_chemical_formula_sum 'Mg6 Cu6 Se2'
_space_group_name_H-M_alt 'P 1'
_space_group_IT_number 1
_cell_length_a 6.575
_cell_length_b 3.765
_cell_length_c 9.956
_cell_angle_alpha 90.00
_cell_angle_beta 105.38
_cell_angle_gamma 90.00
loop_
_space_group_symop_operation_xyz
'x,y,z'
loop_
_atom_site_label
_atom_site_fract_x
_atom_site_fract_y
_atom_site_fract_z
Mg1 0.008 0.250 0.117
Mg2 0.192 0.250 0.672
Mg3 0.414 0.250 0.344
Mg4 0.586 0.750 0.656
Mg5 0.808 0.750 0.328
Mg6 0.992 0.750 0.883
Cu1 0.284 0.250 0.961
Cu2 0.364 0.750 0.124
Cu3 0.389 0.750 0.850
Cu4 0.611 0.250 0.150
Cu5 0.636 0.250 0.876
Cu6 0.716 0.750 0.039
Se1 0.222 0.750 0.457
Se2 0.778 0.250 0.543
```

Computed properties:
- Magnetization: 0.00 μB per atom
- Electronic total energy: -24.0 eV/f.u.
- SG: No. 11

---

6.
Compound: MgCu2Se
Source: the Alexandria database
Functional: GGA-PBEsol
Structure: optimized geometry

Structure (CIF):
```
data_MgCu2Se
_chemical_formula_sum 'Mg1 Cu2 Se1'
_space_group_name_H-M_alt 'P 1'
_space_group_IT_number 1
_cell_length_a 3.681
_cell_length_b 3.681
_cell_length_c 4.419
_cell_angle_alpha 90.00
_cell_angle_beta 90.00
_cell_angle_gamma 90.00
loop_
_space_group_symop_operation_xyz
'x,y,z'
loop_
_atom_site_label
_atom_site_fract_x
_atom_site_fract_y
_atom_site_fract_z
Mg1 0.000 0.000 0.000
Cu1 0.000 0.500 0.500
Cu2 0.500 0.000 0.500
Se1 0.500 0.500 0.000
```

Computed properties:
- Magnetization: 0.00 μB per atom
- Electronic total energy: -14.8 eV/f.u.
- Energy relative to the lowest polymorph listed for this composition: 0.000 eV/atom
- SG: No. 123

---

7.
Compound: MgCuSe
Source: the Alexandria database
Functional: GGA-PBEsol
Structure: optimized geometry

Structure (CIF):
```
data_MgCuSe
_chemical_formula_sum 'Mg2 Cu2 Se2'
_space_group_name_H-M_alt 'P 1'
_space_group_IT_number 1
_cell_length_a 4.103
_cell_length_b 4.103
_cell_length_c 6.153
_cell_angle_alpha 90.00
_cell_angle_beta 90.00
_cell_angle_gamma 90.00
loop_
_space_group_symop_operation_xyz
'x,y,z'
loop_
_atom_site_label
_atom_site_fract_x
_atom_site_fract_y
_atom_site_fract_z
Mg1 0.250 0.750 0.000
Mg2 0.750 0.250 0.000
Cu1 0.250 0.250 0.304
Cu2 0.750 0.750 0.696
Se1 0.250 0.250 0.700
Se2 0.750 0.750 0.300
```

Computed properties:
- Magnetization: 0.00 μB per atom
- Electronic total energy: -10.4 eV/f.u.
- Energy relative to the lowest polymorph listed for this composition: 0.346 eV/atom
- SG: No. 129

---

8.
Compound: Mg4Cu2Se
Source: the Alexandria database
Functional: GGA-PBEsol
Structure: optimized geometry

Structure (CIF):
```
data_Mg4Cu2Se
_chemical_formula_sum 'Mg4 Cu2 Se1'
_space_group_name_H-M_alt 'P 1'
_space_group_IT_number 1
_cell_length_a 5.588
_cell_length_b 5.588
_cell_length_c 5.588
_cell_angle_alpha 104.81
_cell_angle_beta 104.81
_cell_angle_gamma 119.27
loop_
_space_group_symop_operation_xyz
'x,y,z'
loop_
_atom_site_label
_atom_site_fract_x
_atom_site_fract_y
_atom_site_fract_z
Mg1 0.228 0.228 0.456
Mg2 0.228 0.772 0.000
Mg3 0.772 0.228 0.000
Mg4 0.772 0.772 0.544
Cu1 0.250 0.750 0.500
Cu2 0.750 0.250 0.500
Se1 0.500 0.500 0.000
```

Computed properties:
- Magnetization: 0.00 μB per atom
- Electronic total energy: -19.6 eV/f.u.
- SG: No. 139

---

9.
Compound: MgCuSe2
Source: the Alexandria database
Functional: GGA-PBEsol
Structure: optimized geometry

Structure (CIF):
```
data_MgCuSe2
_chemical_formula_sum 'Mg1 Cu1 Se2'
_space_group_name_H-M_alt 'P 1'
_space_group_IT_number 1
_cell_length_a 3.721
_cell_length_b 3.721
_cell_length_c 5.224
_cell_angle_alpha 90.00
_cell_angle_beta 90.00
_cell_angle_gamma 90.00
loop_
_space_group_symop_operation_xyz
'x,y,z'
loop_
_atom_site_label
_atom_site_fract_x
_atom_site_fract_y
_atom_site_fract_z
Mg1 0.000 0.000 0.000
Cu1 0.500 0.500 0.500
Se1 0.000 0.000 0.500
Se2 0.500 0.500 0.000
```

Computed properties:
- Magnetization: 0.00 μB per atom
- Electronic total energy: -16.2 eV/f.u.
- SG: No. 123

---

10.
Compound: Mg3CuSe2
Source: the Alexandria database
Functional: GGA-PBEsol
Structure: optimized geometry

Structure (CIF):
```
data_Mg3CuSe2
_chemical_formula_sum 'Mg3 Cu1 Se2'
_space_group_name_H-M_alt 'P 1'
_space_group_IT_number 1
_cell_length_a 5.222
_cell_length_b 5.222
_cell_length_c 5.222
_cell_angle_alpha 82.34
_cell_angle_beta 82.34
_cell_angle_gamma 82.34
loop_
_space_group_symop_operation_xyz
'x,y,z'
loop_
_atom_site_label
_atom_site_fract_x
_atom_site_fract_y
_atom_site_fract_z
Mg1 0.000 0.500 0.500
Mg2 0.500 0.000 0.500
Mg3 0.500 0.500 0.000
Cu1 0.500 0.500 0.500
Se1 0.171 0.171 0.171
Se2 0.829 0.829 0.829
```

Computed properties:
- Magnetization: 0.00 μB per atom
- Electronic total energy: -18.7 eV/f.u.
- SG: No. 166

---

11.
Compound: MgCu2Se
Source: the Alexandria database
Functional: GGA-PBEsol
Structure: optimized geometry

Structure (CIF):
```
data_MgCu2Se
_chemical_formula_sum 'Mg1 Cu2 Se1'
_space_group_name_H-M_alt 'P 1'
_space_group_IT_number 1
_cell_length_a 3.700
_cell_length_b 4.626
_cell_length_c 3.720
_cell_angle_alpha 90.00
_cell_angle_beta 91.98
_cell_angle_gamma 90.00
loop_
_space_group_symop_operation_xyz
'x,y,z'
loop_
_atom_site_label
_atom_site_fract_x
_atom_site_fract_y
_atom_site_fract_z
Mg1 0.000 0.000 0.000
Cu1 0.249 0.500 0.247
Cu2 0.751 0.500 0.753
Se1 0.500 0.000 0.500
```

Computed properties:
- Magnetization: 0.00 μB per atom
- Electronic total energy: -14.7 eV/f.u.
- Energy relative to the lowest polymorph listed for this composition: 0.022 eV/atom
- SG: No. 10

---

12.
Compound: MgCuSe
Source: the Alexandria database
Functional: GGA-PBEsol
Structure: optimized geometry

Structure (CIF):
```
data_MgCuSe
_chemical_formula_sum 'Mg2 Cu2 Se2'
_space_group_name_H-M_alt 'P 1'
_space_group_IT_number 1
_cell_length_a 4.676
_cell_length_b 4.676
_cell_length_c 6.308
_cell_angle_alpha 90.00
_cell_angle_beta 90.00
_cell_angle_gamma 131.66
loop_
_space_group_symop_operation_xyz
'x,y,z'
loop_
_atom_site_label
_atom_site_fract_x
_atom_site_fract_y
_atom_site_fract_z
Mg1 0.000 0.000 0.000
Mg2 0.000 0.000 0.500
Cu1 0.353 0.647 0.750
Cu2 0.647 0.353 0.250
Se1 0.336 0.664 0.250
Se2 0.664 0.336 0.750
```

Computed properties:
- Magnetization: 0.00 μB per atom
- Electronic total energy: -10.7 eV/f.u.
- Energy relative to the lowest polymorph listed for this composition: 0.272 eV/atom
- SG: No. 63